# 1
A relaxed structure of RbCaAg2Rh. Source: Alexandria via LeMat-Bulk, functional PBE.

Cell lengths 5.3314, 5.3314, 6.1122 Å; angles 90.00, 90.00, 90.00 degrees
With the nearest neighbours (Å) after each atom.
Fractional coordinates of all 5 atoms:
Rb1 0.0000 0.0000 0.0000  2 Ca 3.06
Ca1 0.0000 0.0000 0.5000  4 Ag 2.67
Ag1 0.0000 0.5000 0.5000  2 Ca 2.67
Ag2 0.5000 0.0000 0.5000  2 Ca 2.67
Rh1 0.5000 0.5000 0.0000  4 Rb 3.77, 8 Ag 4.06

Formation energy (eV/f.u.): 6.55
SG: P4/mmm, No. 123
V (Å³/atom): 34.75

---

# 2
A relaxed structure of RbCa2AgSb. Source: Alexandria via LeMat-Bulk, functional PBE.

Cell lengths 6.1448, 6.1448, 5.3540 Å; angles 90.00, 90.00, 90.00 degrees
With the nearest neighbours (Å) after each atom.
Fractional coordinates of all 5 atoms:
Rb1 0.0000 0.0000 0.0000  2 Ag 2.68
Ca1 0.0000 0.5000 0.0000  2 Rb 3.07
Ca2 0.5000 0.0000 0.0000  2 Rb 3.07
Ag1 0.0000 0.0000 0.5000  2 Rb 2.68
Sb1 0.5000 0.5000 0.5000  8 Ca 4.08, 4 Ag 4.35

SG: P4/mmm, No. 123
Formation energy (no corrections) (eV/atom): 0.8816
V (Å³/atom): 40.43

---

# 3
A relaxed structure of RbCaAgSe2. Source: Alexandria via LeMat-Bulk, functional PBE.

Cell lengths 8.5578, 8.5578, 5.9430 Å; angles 90.00, 90.00, 128.84 degrees
With the nearest neighbours (Å) after each atom.
Fractional coordinates of all 10 atoms:
Rb1 0.2500 0.7500 0.7829  4 Se 3.59-3.62
Rb2 0.7500 0.2500 0.2171  4 Se 3.59-3.62
Ca1 0.2500 0.2500 0.5000  4 Se 2.88
Ca2 0.7500 0.7500 0.5000  4 Se 2.88
Ag1 0.0000 0.0000 0.0000  2 Se 2.49
Ag2 0.5000 0.5000 0.0000  2 Se 2.49
Se1 0.1175 0.8825 0.2862  1 Ag 2.49
Se2 0.3825 0.6175 0.2862  1 Ag 2.49
Se3 0.6175 0.3825 0.7138  1 Ag 2.49
Se4 0.8825 0.1175 0.7138  1 Ag 2.49

SG: Cmme, No. 67
Formation energy (no corrections) (eV/atom): -1.1241
V (Å³/atom): 33.90

---

# 4
A relaxed structure of RbCa2SiAg. Source: Alexandria via LeMat-Bulk, functional PBE.

Cell lengths 6.0360, 6.0360, 5.3070 Å; angles 90.00, 90.00, 90.00 degrees
With the nearest neighbours (Å) after each atom.
Fractional coordinates of all 5 atoms:
Rb1 0.0000 0.0000 0.0000  2 Ag 2.65
Ca1 0.0000 0.5000 0.0000  2 Rb 3.02
Ca2 0.5000 0.0000 0.0000  2 Rb 3.02
Si1 0.5000 0.5000 0.5000  8 Ca 4.02, 4 Ag 4.27
Ag1 0.0000 0.0000 0.5000  2 Rb 2.65

SG: P4/mmm, No. 123
Formation energy (no corrections) (eV/atom): 1.3109
V (Å³/atom): 38.67

---

# 5
A relaxed structure of RbCaAgSn2. Source: Alexandria via LeMat-Bulk, functional PBE.

Cell lengths 5.5318, 5.5318, 5.6673 Å; angles 90.00, 90.00, 90.00 degrees
With the nearest neighbours (Å) after each atom.
Fractional coordinates of all 5 atoms:
Rb1 0.0000 0.0000 0.0000  4 Ca 3.91, 8 Sn 3.96
Ca1 0.5000 0.5000 0.0000  2 Ag 2.83
Ag1 0.5000 0.5000 0.5000  4 Sn 2.77, 2 Ca 2.83
Sn1 0.0000 0.5000 0.5000  2 Ag 2.77
Sn2 0.5000 0.0000 0.5000  2 Ag 2.77

Formation energy (eV/f.u.): 0.10
SG: P4/mmm, No. 123
V (Å³/atom): 34.68

---

# 6
A relaxed structure of RbSrCa2Ag. Source: Alexandria via LeMat-Bulk, functional PBE.

Cell lengths 6.0749, 6.0749, 6.3295 Å; angles 90.00, 90.00, 90.00 degrees
With the nearest neighbours (Å) after each atom.
Fractional coordinates of all 5 atoms:
Rb1 0.0000 0.0000 0.0000  4 Sr 4.30, 8 Ca 4.39
Sr1 0.5000 0.5000 0.0000  2 Ag 3.16
Ca1 0.0000 0.5000 0.5000  2 Ag 3.04
Ca2 0.5000 0.0000 0.5000  2 Ag 3.04
Ag1 0.5000 0.5000 0.5000  4 Ca 3.04, 2 Sr 3.16

Formation energy (eV/f.u.): -0.11
SG: P4/mmm, No. 123
V (Å³/atom): 46.72

---

# 7
A relaxed structure of Ca2ReAg. Source: Alexandria via LeMat-Bulk, functional PBE.

Cell lengths 2.8594, 5.1140, 6.0664 Å; angles 90.00, 90.00, 90.00 degrees
With the nearest neighbours (Å) after each atom.
Fractional coordinates of all 4 atoms:
Ca1 0.0000 0.0000 0.0000  2 Ca 2.86, 2 Re 2.98-3.08, 4 Ag 3.13
Ca2 0.5000 0.5000 0.3476  1 Ag 2.85, 2 Ca 2.86, 4 Re 3.09
Re1 0.0000 0.0000 0.5083  2 Re 2.86, 6 Ca 2.98-3.09
Ag1 0.5000 0.5000 0.8179  5 Ca 2.85-3.13, 2 Ag 2.86

Formation energy (eV/f.u.): 2.59
Excess energy over the best structure of this formula in the dataset (meV per atom): 195.7
SG: Pmm2, No. 25
V (Å³/atom): 22.18

---

# 8
A relaxed structure of Ca2ReAg. Source: Alexandria via LeMat-Bulk, functional PBE.

Cell lengths 5.9140, 5.9140, 5.5166 Å; angles 105.00, 105.00, 28.72 degrees
With the nearest neighbours (Å) after each atom.
Fractional coordinates of all 4 atoms:
Ca1 0.0000 0.0000 0.0000  2 Ca 2.93, 3 Re 3.11-3.15, 4 Ag 3.19-3.21
Ca2 0.1975 0.1975 0.6115  2 Ca 2.93, 3 Ag 3.08-3.22, 4 Re 3.13-3.22
Re1 0.7488 0.7488 0.1304  2 Ag 2.85, 2 Re 2.93, 5 Ca 3.11-3.15
Ag1 0.4380 0.4380 0.4631  2 Re 2.85, 2 Ag 2.93, 3 Ca 3.08-3.19

Formation energy (eV/f.u.): 1.81
Excess energy over the best structure of this formula in the dataset (meV per atom): 0.0
SG: Cm, No. 8
V (Å³/atom): 22.34

---

# 9
A relaxed structure of CaRe2Ag. Source: Alexandria via LeMat-Bulk, functional PBE.

Cell lengths 5.9801, 5.9801, 5.9801 Å; angles 152.28, 133.61, 54.90 degrees
With the nearest neighbours (Å) after each atom.
Fractional coordinates of all 4 atoms:
Ca1 0.0000 0.0000 0.0000  4 Ag 2.76, 2 Ca 2.86
Re1 0.2685 0.7685 0.5000  6 Re 2.78-2.86, 2 Ag 2.84
Re2 0.7315 0.2315 0.5000  6 Re 2.78-2.86, 2 Ag 2.84
Ag1 0.5000 0.5000 0.0000  4 Ca 2.76, 4 Re 2.84, 2 Ag 2.86

Formation energy (eV/f.u.): 2.45
Excess energy over the best structure of this formula in the dataset (meV per atom): 98.8
SG: Immm, No. 71
V (Å³/atom): 17.91

---

# 10
A relaxed structure of CaRe2Ag. Source: Alexandria via LeMat-Bulk, functional PBE.

Cell lengths 4.6636, 4.6636, 6.0446 Å; angles 95.37, 95.37, 35.25 degrees
With the nearest neighbours (Å) after each atom.
Fractional coordinates of all 4 atoms:
Ca1 0.0000 0.0000 0.0000  3 Ag 2.82-3.01, 2 Ca 2.82, 3 Re 2.99-3.13
Re1 0.2398 0.2398 0.6855  3 Re 2.52-2.67
Re2 0.4954 0.4954 0.5379  3 Re 2.52-2.67
Ag1 0.7566 0.7566 0.2668  3 Ca 2.82-3.01, 2 Ag 2.82, 5 Re 2.91-2.97

Formation energy (eV/f.u.): 2.27
Excess energy over the best structure of this formula in the dataset (meV per atom): 55.0
SG: Cm, No. 8
V (Å³/atom): 18.87

---

# 11
A relaxed structure of Ca2ReAg. Source: Alexandria via LeMat-Bulk, functional PBE.

Cell lengths 2.9580, 3.4727, 8.6775 Å; angles 90.00, 90.00, 90.00 degrees
With the nearest neighbours (Å) after each atom.
Fractional coordinates of all 4 atoms:
Ca1 0.0000 0.0000 0.2346  2 Ca 2.96, 4 Re 3.06, 4 Ag 3.24
Ca2 0.0000 0.0000 0.7654  2 Ca 2.96, 4 Re 3.06, 4 Ag 3.24
Re1 0.5000 0.5000 0.0000  2 Re 2.96, 8 Ca 3.06
Ag1 0.5000 0.5000 0.5000  2 Ag 2.96, 8 Ca 3.24

Formation energy (eV/f.u.): 1.83
Excess energy over the best structure of this formula in the dataset (meV per atom): 4.0
SG: Pmmm, No. 47
V (Å³/atom): 22.28

---

# 12
A relaxed structure of CaRe2Ag. Source: Alexandria via LeMat-Bulk, functional PBE.

Cell lengths 3.1738, 4.4283, 5.0454 Å; angles 90.00, 90.00, 90.00 degrees
With the nearest neighbours (Å) after each atom.
Fractional coordinates of all 4 atoms:
Ca1 0.0000 0.0000 0.0000  4 Ag 2.72, 4 Re 2.98
Re1 0.0000 0.5000 0.5000  4 Re 2.72, 4 Ag 2.98
Re2 0.5000 0.0000 0.5000  4 Re 2.72, 4 Ca 2.98
Ag1 0.5000 0.5000 0.0000  4 Ca 2.72, 4 Re 2.98

Formation energy (eV/f.u.): 2.47
Excess energy over the best structure of this formula in the dataset (meV per atom): 105.4
SG: Pmmm, No. 47
V (Å³/atom): 17.73